1.
A relaxed structure of Rb2Ca2RuO6. Source: Alexandria, functional GGA-PBE.

a = 5.8626 Å, b = 9.9039 Å, c = 6.8160 Å
α = 90.00°, β = 106.29°, γ = 90.00°
Space group C2/m (No. 12)
Unique sites:
1 Rb 0.0000 0.1691 0.0000 x4
2 Ca 0.0000 0.3362 0.5000 x4
3 Ru 0.0000 0.0000 0.5000 x2
4 O 0.1954 0.1437 0.6668 x8
5 O 0.2244 0.0000 0.3304 x4

=====

2.
A relaxed structure of RbCaSO4. Source: Alexandria, functional GGA-PBE.

a = 5.3728 Å, b = 5.8185 Å, c = 7.6448 Å
α = 90.00°, β = 104.91°, γ = 90.00°
Space group P2_1/m (No. 11)
Unique sites:
1 Rb 0.1728 0.2500 0.1130 x2
2 Ca 0.1951 0.7500 0.4776 x2
3 S 0.3603 0.2500 0.7152 x2
4 O 0.1809 0.0243 0.7056 x4
5 O 0.3279 0.7500 0.2080 x2
6 O 0.3592 0.2500 0.5073 x2

=====

3.
A relaxed structure of RbCaS2O6. Source: Alexandria, functional GGA-PBE.

a = 8.3596 Å, b = 10.8017 Å, c = 8.0730 Å
α = 90.00°, β = 113.73°, γ = 90.00°
Space group C2/c (No. 15)
Unique sites:
1 Rb 0.0000 0.1549 0.2500 x4
2 Ca 0.0000 0.4262 0.7500 x4
3 S 0.2002 0.1220 0.7721 x8
4 O 0.1211 0.3906 0.0710 x8
5 O 0.1699 0.2563 0.7155 x8
6 O 0.2139 0.0449 0.6212 x8

=====

4.
A relaxed structure of RbCaS2O8. Source: Alexandria, functional GGA-PBE.

a = 5.5351 Å, b = 5.5351 Å, c = 8.2614 Å
α = 90.00°, β = 90.00°, γ = 120.00°
Space group P-3 (No. 147)
Unique sites:
1 Rb 0.0000 0.0000 0.0000 x1
2 Ca 0.0000 0.0000 0.5000 x1
3 S 0.3333 0.6667 0.7381 x2
4 O 0.1743 0.3748 0.6781 x6
5 O 0.3333 0.6667 0.9172 x2

=====

5.
A relaxed structure of Rb3CaSb2O8. Source: Alexandria, functional GGA-PBE.

a = 6.3202 Å, b = 6.3202 Å, c = 8.1429 Å
α = 90.00°, β = 90.00°, γ = 120.00°
Space group P-3m1 (No. 164)
Unique sites:
1 Rb 0.0000 0.0000 0.0000 x1
2 Rb 0.3333 0.6667 0.6736 x2
3 Ca 0.0000 0.0000 0.5000 x1
4 Sb 0.3333 0.6667 0.2378 x2
5 O 0.1709 0.3418 0.3235 x6
6 O 0.3333 0.6667 0.0049 x2

=====

6.
A relaxed structure of RbCaSbO3. Source: Alexandria, functional GGA-PBE.

a = 6.7699 Å, b = 3.5488 Å, c = 10.0360 Å
α = 90.00°, β = 99.02°, γ = 90.00°
Space group P2_1/m (No. 11)
Unique sites:
1 Rb 0.0460 0.2500 0.1601 x2
2 Ca 0.4621 0.7500 0.8655 x2
3 Sb 0.2863 0.2500 0.5516 x2
4 O 0.2464 0.2500 0.7379 x2
5 O 0.3292 0.7500 0.0615 x2
6 O 0.4561 0.7500 0.5878 x2

=====

| no. | VASP energy (eV per atom) | raw formation energy (eV per atom) |
| --- | --- | --- |
| 1 | -5.890 | -1.8028 |
| 2 | -5.596 | -1.7490 |
| 3 | -5.874 | -1.7762 |
| 4 | -6.052 | -1.8108 |
| 5 | -5.379 | -1.6061 |
| 6 | -5.477 | -1.8156 |